(1)
Gd2Sc2SiGe | PBE | relaxed

Computed properties:
- calculated total energy (eV per cell) = -36.15
- total magnetization (μB per formula unit) = 1.5

a b c (Å): 8.357 8.357 8.357
angles (deg): 150.57 150.57 42.11
Atoms (fractional coordinates):
Gd1 0.000 0.000 0.000
Gd2 0.353 0.353 0.000
Sc1 0.174 0.674 0.500
Sc2 0.674 0.174 0.500
Si1 0.549 0.549 0.000
Ge1 0.803 0.803 0.000

(2)
SmGdSc2Ge2 | PBE | relaxed

Computed properties:
- calculated total energy (eV per cell) = -35.65
- total magnetization (μB per formula unit) = 1.6

a b c (Å): 8.433 8.433 8.433
angles (deg): 150.65 150.65 41.99
Atoms (fractional coordinates):
Sm1 0.000 0.000 0.000
Gd1 0.354 0.354 0.000
Sc1 0.178 0.678 0.500
Sc2 0.678 0.178 0.500
Ge1 0.552 0.552 0.000
Ge2 0.803 0.803 0.000

(3)
GdScTa2Ge2 | PBE | relaxed

Computed properties:
- calculated total energy (eV per cell) = -47.38
- total magnetization (μB per formula unit) = 1.0

a b c (Å): 3.990 3.990 7.715
angles (deg): 90.00 90.00 90.00
Atoms (fractional coordinates):
Gd1 0.000 0.000 0.000
Sc1 0.500 0.500 0.296
Ta1 0.000 0.500 0.638
Ta2 0.500 0.000 0.638
Ge1 0.000 0.000 0.388
Ge2 0.500 0.500 0.890

(4)
Gd5Si2Ge2 | PBE | relaxed

Computed properties:
- calculated total energy (eV per cell) = -202.27
- total magnetization (μB per formula unit) = 0.0

a b c (Å): 14.821 7.798 7.612
angles (deg): 90.00 93.22 90.00
Atoms (fractional coordinates):
Gd1 0.102 0.181 0.494
Gd2 0.102 0.319 0.994
Gd3 0.120 0.664 0.643
Gd4 0.120 0.836 0.143
Gd5 0.245 0.006 0.822
Gd6 0.245 0.494 0.322
Gd7 0.376 0.677 0.668
Gd8 0.376 0.823 0.168
Gd9 0.397 0.185 0.519
Gd10 0.397 0.315 0.019
Gd11 0.603 0.685 0.981
Gd12 0.603 0.815 0.481
Gd13 0.624 0.177 0.832
Gd14 0.624 0.323 0.332
Gd15 0.755 0.506 0.678
Gd16 0.755 0.994 0.178
Gd17 0.880 0.164 0.857
Gd18 0.880 0.336 0.357
Gd19 0.898 0.681 0.006
Gd20 0.898 0.819 0.506
Si1 0.252 0.128 0.212
Si2 0.252 0.372 0.712
Si3 0.252 0.606 0.950
Si4 0.252 0.894 0.450
Si5 0.748 0.106 0.550
Si6 0.748 0.394 0.050
Si7 0.748 0.628 0.288
Si8 0.748 0.872 0.788
Ge1 0.042 0.536 0.292
Ge2 0.042 0.964 0.792
Ge3 0.459 0.531 0.342
Ge4 0.459 0.969 0.842
Ge5 0.541 0.031 0.158
Ge6 0.541 0.469 0.658
Ge7 0.958 0.036 0.208
Ge8 0.958 0.464 0.708

(5)
SmGdGe2 | PBE | relaxed

Computed properties:
- calculated total energy (eV per cell) = -41.85
- total magnetization (μB per formula unit) = 0.0

a b c (Å): 9.628 9.628 5.506
angles (deg): 90.00 90.00 155.09
Atoms (fractional coordinates):
Sm1 0.077 0.923 0.750
Sm2 0.923 0.077 0.250
Gd1 0.297 0.703 0.750
Gd2 0.703 0.297 0.250
Ge1 0.314 0.686 0.250
Ge2 0.457 0.543 0.750
Ge3 0.543 0.457 0.250
Ge4 0.686 0.314 0.750

(6)
SmGdZn2Ge2 | PBE | relaxed

Computed properties:
- polymorph energy (0 for the lowest one) (meV per atom) = 0
- total magnetization (μB per formula unit) = 0.0

a b c (Å): 4.263 4.263 15.933
angles (deg): 90.00 90.00 120.00
Atoms (fractional coordinates):
Sm1 0.000 0.000 0.000
Sm2 0.000 0.000 0.500
Gd1 0.000 0.000 0.250
Gd2 0.000 0.000 0.750
Zn1 0.333 0.667 0.146
Zn2 0.333 0.667 0.354
Zn3 0.667 0.333 0.646
Zn4 0.667 0.333 0.854
Ge1 0.333 0.667 0.615
Ge2 0.333 0.667 0.885
Ge3 0.667 0.333 0.115
Ge4 0.667 0.333 0.385

(7)
GdSnGe | PBE | relaxed

Computed properties:
- polymorph energy (0 for the lowest one) (meV per atom) = 0
- total magnetization (μB per formula unit) = 0.0

a b c (Å): 4.903 4.903 4.903
angles (deg): 60.00 60.00 60.00
Atoms (fractional coordinates):
Gd1 0.000 0.000 0.000
Sn1 0.500 0.500 0.500
Ge1 0.250 0.250 0.250

(8)
SrGdGe | PBE | relaxed

Computed properties:
- calculated total energy (eV per cell) = -12.18
- total magnetization (μB per formula unit) = 0.0

a b c (Å): 5.135 5.135 5.135
angles (deg): 60.00 60.00 60.00
Atoms (fractional coordinates):
Sr1 0.000 0.000 0.000
Gd1 0.500 0.500 0.500
Ge1 0.750 0.750 0.750

(9)
GdTaGe | PBE | relaxed

Computed properties:
- calculated total energy (eV per cell) = -20.84
- total magnetization (μB per formula unit) = 0.4

a b c (Å): 4.602 4.602 4.602
angles (deg): 60.00 60.00 60.00
Atoms (fractional coordinates):
Gd1 0.000 0.000 0.000
Ta1 0.500 0.500 0.500
Ge1 0.250 0.250 0.250

(10)
GdYTa2Ge2 | PBE | relaxed

Computed properties:
- calculated total energy (eV per cell) = -47.65
- total magnetization (μB per formula unit) = 1.1

a b c (Å): 4.040 4.040 7.887
angles (deg): 90.00 90.00 90.00
Atoms (fractional coordinates):
Gd1 0.000 0.000 0.000
Y1 0.500 0.500 0.297
Ta1 0.000 0.500 0.648
Ta2 0.500 0.000 0.648
Ge1 0.000 0.000 0.403
Ge2 0.500 0.500 0.894

(11)
TbGdGe2 | PBE | relaxed

Computed properties:
- polymorph energy (0 for the lowest one) (meV per atom) = 913
- total magnetization (μB per formula unit) = 0.0

a b c (Å): 3.280 6.460 6.460
angles (deg): 53.99 90.00 90.00
Atoms (fractional coordinates):
Tb1 0.000 0.000 0.000
Gd1 0.000 0.300 0.300
Ge1 0.000 0.544 0.544
Ge2 0.000 0.757 0.757

(12)
TbGdGe2 | PBE | relaxed

Computed properties:
- polymorph energy (0 for the lowest one) (meV per atom) = 0
- total magnetization (μB per formula unit) = 0.0

a b c (Å): 3.961 5.823 8.044
angles (deg): 90.00 90.00 90.00
Atoms (fractional coordinates):
Tb1 0.000 0.132 0.000
Tb2 0.000 0.868 0.500
Gd1 0.500 0.368 0.361
Gd2 0.500 0.632 0.861
Ge1 0.000 0.393 0.639
Ge2 0.000 0.607 0.139
Ge3 0.500 0.107 0.722
Ge4 0.500 0.893 0.222